#a
Zn2InF2 | PBE | optimized geometry

It has space group P4/mbm (No. 127), with a = 7.753 Å, b = 7.753 Å, c = 2.831 Å, α = 90.00°, β = 90.00° and γ = 90.00°. Symmetry generates all atoms from Zn at (0.128, 0.372, 0.000), In at (0.000, 0.000, 0.000) and F at (0.111, 0.611, 0.500).

For the density of states at the Fermi level, the calculation gives 0.34 states/eV per atom.

---

#b
Zn2InF2 | PBE | optimized geometry

It has space group P4/mbm (No. 127), with a = 7.683 Å, b = 7.683 Å, c = 2.803 Å, α = 90.00°, β = 90.00° and γ = 90.00°. Symmetry generates all atoms from Zn at (0.132, 0.368, 0.000), In at (0.000, 0.000, 0.500) and F at (0.113, 0.613, 0.500).

For the density of states at the Fermi level, the calculation gives 0.29 states/eV per atom.

---

#b comes first in stability; the runner-up is 13 meV/atom higher.